VASP calculation (PBE with a Hubbard U) on a relaxed K2Sc2MoP2O12 crystal.

Properties
Calculated total energy, eV/f.u.: -140.6
V, Å³/cell: 1145.09
Space group: P1 (1)

Lattice parameters (Å, degrees): 10.418 10.440 10.530 90.28 90.60 90.33
Sites, in units of the cell vectors:
K 0.000 0.000 0.000
K 0.083 0.494 0.614
K 0.190 0.767 0.247
K 0.329 0.143 0.712
K 0.466 0.404 0.114
K 0.597 0.933 0.492
K 0.720 0.601 0.857
K 0.866 0.268 0.370
Sc 0.125 0.353 0.936
Sc 0.184 0.122 0.400
Sc 0.362 0.758 0.869
Sc 0.409 0.559 0.454
Sc 0.653 0.087 0.171
Sc 0.680 0.271 0.710
Sc 0.886 0.618 0.190
Sc 0.952 0.846 0.655
Mo 0.329 0.069 0.070
Mo 0.549 0.743 0.163
Mo 0.663 0.964 0.853
Mo 0.742 0.567 0.514
P 0.000 0.158 0.679
P 0.045 0.660 0.912
P 0.155 0.430 0.256
P 0.260 0.834 0.570
P 0.400 0.464 0.757
P 0.503 0.247 0.431
P 0.818 0.332 0.022
P 0.907 0.931 0.342
O 0.008 0.688 0.052
O 0.024 0.019 0.727
O 0.028 0.517 0.876
O 0.032 0.009 0.316
O 0.032 0.513 0.273
O 0.059 0.179 0.546
O 0.071 0.254 0.769
O 0.124 0.778 0.596
O 0.132 0.296 0.314
O 0.187 0.696 0.893
O 0.192 0.420 0.114
O 0.220 0.174 0.990
O 0.251 0.967 0.507
O 0.266 0.502 0.328
O 0.279 0.052 0.231
O 0.297 0.400 0.841
O 0.305 0.919 0.989
O 0.329 0.741 0.479
O 0.338 0.849 0.697
O 0.341 0.489 0.623
O 0.362 0.207 0.454
O 0.423 0.688 0.060
O 0.448 0.592 0.816
O 0.488 0.134 0.051
O 0.515 0.394 0.412
O 0.516 0.374 0.747
O 0.516 0.658 0.305
O 0.538 0.914 0.194
O 0.548 0.843 0.892
O 0.556 0.179 0.311
O 0.587 0.100 0.781
O 0.587 0.633 0.548
O 0.590 0.202 0.543
O 0.706 0.700 0.109
O 0.743 0.252 0.122
O 0.745 0.007 0.998
O 0.747 0.329 0.892
O 0.764 0.418 0.598
O 0.764 0.894 0.736
O 0.776 0.546 0.349
O 0.792 0.008 0.284
O 0.821 0.472 0.072
O 0.854 0.182 0.675
O 0.860 0.669 0.585
O 0.881 0.920 0.486
O 0.917 0.797 0.280
O 0.955 0.277 0.012
O 0.959 0.744 0.827